1.
# AcNd6Y3 (PBE-GGA, optimized geometry)
data_AcNd6Y3
_symmetry_space_group_name_H-M 'P 1'
_symmetry_Int_Tables_number 1
_symmetry_space_group_name_Hall 'P 1'
_cell_length_a 9.2527
_cell_length_b 9.2344
_cell_length_c 9.2344
_cell_angle_alpha 115.46
_cell_angle_beta 90.00
_cell_angle_gamma 90.00
loop_
_atom_site_label
_atom_site_type_symbol
_atom_site_fract_x
_atom_site_fract_y
_atom_site_fract_z
Ac1 Ac 0.0263 0.2186 0.7814
Ac2 Ac 0.5263 0.7814 0.2186
Nd1 Nd 0.1030 0.8014 0.6757
Nd2 Nd 0.6030 0.6757 0.8014
Nd3 Nd 0.2702 0.5306 0.8200
Nd4 Nd 0.7702 0.8200 0.5306
Nd5 Nd 0.2769 0.9542 0.0458
Nd6 Nd 0.6546 0.2791 0.7209
Nd7 Nd 0.1546 0.7209 0.2791
Nd8 Nd 0.7769 0.0458 0.9542
Nd9 Nd 0.2702 0.1800 0.4694
Nd10 Nd 0.7702 0.4694 0.1800
Nd11 Nd 0.1030 0.3243 0.1986
Nd12 Nd 0.6030 0.1986 0.3243
Y1 Y 0.4335 0.9676 0.6815
Y2 Y 0.9335 0.6815 0.9676
Y3 Y 0.4140 0.5524 0.4476
Y4 Y 0.9140 0.4476 0.5524
Y5 Y 0.9335 0.0324 0.3185
Y6 Y 0.4335 0.3185 0.0324
# Total moment, μB/atom: 0.00
# Crystal system: orthorhombic
# Energy above the most stable polymorph in this dataset, eV/atom: 0.075
# Calculated formation energy, meV per atom: 126

2.
# Ac2NdY6 (PBE-GGA, optimized geometry)
data_Ac2NdY6
_symmetry_space_group_name_H-M 'P 1'
_symmetry_Int_Tables_number 1
_symmetry_space_group_name_Hall 'P 1'
_cell_length_a 3.6428
_cell_length_b 10.0549
_cell_length_c 10.0549
_cell_angle_alpha 120.00
_cell_angle_beta 90.00
_cell_angle_gamma 90.00
loop_
_atom_site_label
_atom_site_type_symbol
_atom_site_fract_x
_atom_site_fract_y
_atom_site_fract_z
Ac1 Ac 0.2696 0.6667 0.3333
Ac2 Ac 0.7304 0.3333 0.6667
Nd1 Nd 0.5000 0.0000 0.0000
Y1 Y 0.2255 0.6582 0.6779
Y2 Y 0.2255 0.0197 0.3418
Y3 Y 0.2255 0.3221 0.9803
Y4 Y 0.7745 0.3418 0.3221
Y5 Y 0.7745 0.9803 0.6582
Y6 Y 0.7745 0.6779 0.0197
# Total moment, μB/atom: 0.00
# Crystal system: trigonal
# Calculated formation energy, meV per atom: 112

3.
# Ac3Nd3Y8 (PBE-GGA, optimized geometry)
data_Ac3Nd3Y8
_symmetry_space_group_name_H-M 'P 1'
_symmetry_Int_Tables_number 1
_symmetry_space_group_name_Hall 'P 1'
_cell_length_a 5.7425
_cell_length_b 10.5137
_cell_length_c 10.5137
_cell_angle_alpha 59.74
_cell_angle_beta 74.15
_cell_angle_gamma 74.15
loop_
_atom_site_label
_atom_site_type_symbol
_atom_site_fract_x
_atom_site_fract_y
_atom_site_fract_z
Ac1 Ac 0.5000 0.0000 0.0000
Ac2 Ac 0.0000 0.7532 0.2468
Ac3 Ac 0.0000 0.2468 0.7532
Nd1 Nd 0.5000 0.5000 0.5000
Nd2 Nd 0.8168 0.1832 0.1832
Nd3 Nd 0.1832 0.8168 0.8168
Y1 Y 0.6305 0.1162 0.6228
Y2 Y 0.3695 0.8838 0.3772
Y3 Y 0.6305 0.6228 0.1162
Y4 Y 0.3695 0.3772 0.8838
Y5 Y 0.8070 0.8449 0.5412
Y6 Y 0.1930 0.1551 0.4588
Y7 Y 0.8070 0.5412 0.8449
Y8 Y 0.1930 0.4588 0.1551
# Total moment, μB/atom: 0.00
# Crystal system: orthorhombic
# Calculated formation energy, meV per atom: 334

4.
# Ac6NdY5 (PBE-GGA, optimized geometry)
data_Ac6NdY5
_symmetry_space_group_name_H-M 'P 1'
_symmetry_Int_Tables_number 1
_symmetry_space_group_name_Hall 'P 1'
_cell_length_a 5.4898
_cell_length_b 10.1775
_cell_length_c 10.0592
_cell_angle_alpha 120.39
_cell_angle_beta 105.84
_cell_angle_gamma 90.00
loop_
_atom_site_label
_atom_site_type_symbol
_atom_site_fract_x
_atom_site_fract_y
_atom_site_fract_z
Y1 Y 0.6667 0.1667 0.3334
Y2 Y 0.3323 0.3323 0.6647
Y3 Y 0.0000 0.5000 0.0000
Y4 Y 0.6677 0.6677 0.3353
Y5 Y 0.3333 0.8333 0.6666
Ac1 Ac 0.8331 0.5819 0.6662
Ac2 Ac 0.8331 0.0843 0.6662
Ac3 Ac 0.5000 0.7474 0.0000
Ac4 Ac 0.5000 0.2526 0.0000
Ac5 Ac 0.1669 0.9157 0.3338
Ac6 Ac 0.1669 0.4181 0.3338
Nd1 Nd 0.0000 0.0000 0.0000
# Total moment, μB/atom: 0.00
# Crystal system: orthorhombic
# Calculated formation energy, meV per atom: 38

5.
# Ac2Nd12Y5 (PBE-GGA, optimized geometry)
data_Ac2Nd12Y5
_symmetry_space_group_name_H-M 'P 1'
_symmetry_Int_Tables_number 1
_symmetry_space_group_name_Hall 'P 1'
_cell_length_a 9.9099
_cell_length_b 11.9766
_cell_length_c 8.9292
_cell_angle_alpha 129.52
_cell_angle_beta 90.00
_cell_angle_gamma 114.44
loop_
_atom_site_label
_atom_site_type_symbol
_atom_site_fract_x
_atom_site_fract_y
_atom_site_fract_z
Ac1 Ac 0.6800 0.0000 0.0000
Ac2 Ac 0.3200 0.0000 0.0000
Nd1 Nd 0.0757 0.1513 0.2425
Nd2 Nd 0.0647 0.7548 0.0589
Nd3 Nd 0.6901 0.7548 0.0589
Nd4 Nd 0.0761 0.6663 0.3894
Nd5 Nd 0.5902 0.6663 0.3894
Nd6 Nd 0.4742 0.9484 0.6194
Nd7 Nd 0.5258 0.0516 0.3806
Nd8 Nd 0.9239 0.3337 0.6106
Nd9 Nd 0.4098 0.3337 0.6106
Nd10 Nd 0.9353 0.2452 0.9411
Nd11 Nd 0.3099 0.2452 0.9411
Nd12 Nd 0.9243 0.8487 0.7575
Y1 Y 0.2999 0.5997 0.6311
Y2 Y 0.2907 0.5814 0.0137
Y3 Y 0.0000 0.0000 0.5000
Y4 Y 0.7093 0.4186 0.9863
Y5 Y 0.7001 0.4003 0.3689
# Total moment, μB/atom: 0.00
# Crystal system: monoclinic
# Energy above the most stable polymorph in this dataset, eV/atom: 0.113
# Calculated formation energy, meV per atom: 220

6.
# AcNd3Y2 (PBE-GGA, optimized geometry)
data_AcNd3Y2
_symmetry_space_group_name_H-M 'P 1'
_symmetry_Int_Tables_number 1
_symmetry_space_group_name_Hall 'P 1'
_cell_length_a 6.8637
_cell_length_b 6.8637
_cell_length_c 11.6975
_cell_angle_alpha 64.69
_cell_angle_beta 64.69
_cell_angle_gamma 63.43
loop_
_atom_site_label
_atom_site_type_symbol
_atom_site_fract_x
_atom_site_fract_y
_atom_site_fract_z
Ac1 Ac 0.2464 0.7536 0.2500
Ac2 Ac 0.7536 0.2464 0.7500
Nd1 Nd 0.6617 0.6681 0.4169
Nd2 Nd 0.3319 0.3383 0.0831
Nd3 Nd 0.3383 0.3319 0.5831
Nd4 Nd 0.6681 0.6617 0.9169
Nd5 Nd 0.7520 0.2480 0.2500
Nd6 Nd 0.2480 0.7520 0.7500
Y1 Y 0.1669 0.1662 0.4175
Y2 Y 0.8338 0.8331 0.0825
Y3 Y 0.8331 0.8338 0.5825
Y4 Y 0.1662 0.1669 0.9175
# Total moment, μB/atom: 0.00
# Crystal system: monoclinic
# Energy above the most stable polymorph in this dataset, eV/atom: 0.000
# Calculated formation energy, meV per atom: 58

7.
# AcNd3Y8 (PBE-GGA, optimized geometry)
data_AcNd3Y8
_symmetry_space_group_name_H-M 'P 1'
_symmetry_Int_Tables_number 1
_symmetry_space_group_name_Hall 'P 1'
_cell_length_a 8.6287
_cell_length_b 8.6358
_cell_length_c 8.6287
_cell_angle_alpha 95.45
_cell_angle_beta 136.36
_cell_angle_gamma 100.44
loop_
_atom_site_label
_atom_site_type_symbol
_atom_site_fract_x
_atom_site_fract_y
_atom_site_fract_z
Ac1 Ac 0.8333 0.0000 0.8333
Nd1 Nd 0.4987 0.7475 0.2461
Nd2 Nd 0.4987 0.2525 0.7512
Nd3 Nd 0.8336 0.5000 0.3336
Y1 Y 0.5000 0.1693 0.3311
Y2 Y 0.4969 0.6654 0.8317
Y3 Y 0.1618 0.8307 0.3307
Y4 Y 0.1663 0.3346 0.8314
Y5 Y 0.1707 0.4209 0.2557
Y6 Y 0.8347 0.0845 0.2552
Y7 Y 0.8348 0.5791 0.7498
Y8 Y 0.1707 0.9155 0.7502
# Total moment, μB/atom: 0.00
# Crystal system: orthorhombic
# Calculated formation energy, meV per atom: 25

8.
# Ac2NdY (PBE-GGA, optimized geometry)
data_Ac2NdY
_symmetry_space_group_name_H-M 'P 1'
_symmetry_Int_Tables_number 1
_symmetry_space_group_name_Hall 'P 1'
_cell_length_a 3.8435
_cell_length_b 3.8435
_cell_length_c 12.3383
_cell_angle_alpha 81.04
_cell_angle_beta 81.04
_cell_angle_gamma 60.00
loop_
_atom_site_label
_atom_site_type_symbol
_atom_site_fract_x
_atom_site_fract_y
_atom_site_fract_z
Y1 Y 0.5000 0.5000 0.5000
Ac1 Ac 0.7512 0.7512 0.7465
Ac2 Ac 0.2488 0.2488 0.2535
Nd1 Nd 0.0000 0.0000 0.0000
# Total moment, μB/atom: 0.00
# Crystal system: trigonal
# Energy above the most stable polymorph in this dataset, eV/atom: 0.000
# Calculated formation energy, meV per atom: 32

9.
# Ac2Nd12Y5 (PBE-GGA, optimized geometry)
data_Ac2Nd12Y5
_symmetry_space_group_name_H-M 'P 1'
_symmetry_Int_Tables_number 1
_symmetry_space_group_name_Hall 'P 1'
_cell_length_a 11.8047
_cell_length_b 8.9308
_cell_length_c 9.6440
_cell_angle_alpha 69.85
_cell_angle_beta 90.00
_cell_angle_gamma 131.37
loop_
_atom_site_label
_atom_site_type_symbol
_atom_site_fract_x
_atom_site_fract_y
_atom_site_fract_z
Ac1 Ac 0.7366 0.0000 0.0000
Ac2 Ac 0.2634 0.0000 0.0000
Nd1 Nd 0.1281 0.2563 0.0574
Nd2 Nd 0.0549 0.6226 0.8003
Nd3 Nd 0.5677 0.6226 0.8003
Nd4 Nd 0.1732 0.7796 0.4263
Nd5 Nd 0.6064 0.7796 0.4263
Nd6 Nd 0.4240 0.8480 0.7756
Nd7 Nd 0.5760 0.1520 0.2244
Nd8 Nd 0.8268 0.2204 0.5737
Nd9 Nd 0.3936 0.2204 0.5737
Nd10 Nd 0.9451 0.3774 0.1997
Nd11 Nd 0.4323 0.3774 0.1997
Nd12 Nd 0.8719 0.7437 0.9426
Y1 Y 0.1894 0.3788 0.6697
Y2 Y 0.3073 0.6146 0.2408
Y3 Y 0.0000 0.0000 0.5000
Y4 Y 0.6927 0.3854 0.7592
Y5 Y 0.8106 0.6212 0.3303
# Total moment, μB/atom: 0.00
# Crystal system: monoclinic
# Energy above the most stable polymorph in this dataset, eV/atom: 0.000
# Calculated formation energy, meV per atom: 107

10.
# Ac6Nd2Y (PBE-GGA, optimized geometry)
data_Ac6Nd2Y
_symmetry_space_group_name_H-M 'P 1'
_symmetry_Int_Tables_number 1
_symmetry_space_group_name_Hall 'P 1'
_cell_length_a 5.5288
_cell_length_b 8.5663
_cell_length_c 8.7557
_cell_angle_alpha 84.18
_cell_angle_beta 71.60
_cell_angle_gamma 71.17
loop_
_atom_site_label
_atom_site_type_symbol
_atom_site_fract_x
_atom_site_fract_y
_atom_site_fract_z
Ac1 Ac 0.6722 0.8229 0.8328
Ac2 Ac 0.3278 0.1771 0.1672
Ac3 Ac 0.0049 0.8228 0.1674
Ac4 Ac 0.3388 0.8223 0.5001
Ac5 Ac 0.9951 0.1772 0.8326
Ac6 Ac 0.6612 0.1777 0.4999
Nd1 Nd 0.3340 0.5000 0.8320
Nd2 Nd 0.6660 0.5000 0.1680
Y1 Y 0.0000 0.5000 0.5000
# Total moment, μB/atom: 0.00
# Crystal system: orthorhombic
# Calculated formation energy, meV per atom: 33